Below is a geometry-optimized LuScFeSi structure, with properties calculated at the PBE level.

```
LuScFeSi
1.0
0.000 3.182 3.182
3.182 0.000 3.182
3.182 3.182 0.000
Lu Sc Fe Si
1 1 1 1
Cartesian
0.000 0.000 0.000 Lu
1.591 1.591 1.591 Sc
4.773 4.773 4.773 Fe
3.182 3.182 3.182 Si
```

Offset from the most stable computed form (eV per atom): 0.000
Calculated total energy (eV/cell): -25.31